A plane-wave DFT calculation with GGA-PBE was carried out for an optimized crystal structure of TmThTe.

Summary:
The calculation puts the raw formation energy at -0.3655 eV/atom. As for the relative energy among the computed polymorphs: 312 meV/atom. Its space group is P3m1. The final energy comes out at -5.377 eV per atom.

The structure in POSCAR format:
```
TmThTe
1.0
-1.515 -3.495 0.002
0.228 -0.103 -5.204
4.021 -1.741 2.819
Tm Te Th
1 1 1
Direct
0.499 0.667 0.333 Tm
0.502 0.333 0.667 Te
0.999 0.000 0.000 Th
```